Record 1
A plane-wave DFT calculation with PBE-GGA was carried out for a geometry-optimized MgZnTcIr structure.

Cell lengths 6.2085, 6.2085, 6.2085 Å; angles 90.00, 90.00, 90.00 degrees
Last column: nearest neighbours and their distance in Å.
Fractional coordinates of all 16 atoms:
Mg 0.0000 0.0000 0.0000  4 Zn 2.69, 4 Ir 2.69
Mg 0.0000 0.5000 0.5000  4 Ir 2.69, 4 Zn 2.69
Mg 0.5000 0.0000 0.5000  4 Ir 2.69, 4 Zn 2.69
Mg 0.5000 0.5000 0.0000  4 Ir 2.69, 4 Zn 2.69
Zn 0.2500 0.2500 0.2500  4 Tc 2.69, 4 Mg 2.69
Zn 0.2500 0.7500 0.7500  4 Tc 2.69, 4 Mg 2.69
Zn 0.7500 0.2500 0.7500  4 Tc 2.69, 4 Mg 2.69
Zn 0.7500 0.7500 0.2500  4 Tc 2.69, 4 Mg 2.69
Tc 0.0000 0.0000 0.5000  4 Ir 2.69, 4 Zn 2.69
Tc 0.0000 0.5000 0.0000  4 Ir 2.69, 4 Zn 2.69
Tc 0.5000 0.0000 0.0000  4 Ir 2.69, 4 Zn 2.69
Tc 0.5000 0.5000 0.5000  4 Ir 2.69, 4 Zn 2.69
Ir 0.2500 0.2500 0.7500  4 Tc 2.69, 4 Mg 2.69
Ir 0.2500 0.7500 0.2500  4 Tc 2.69, 4 Mg 2.69
Ir 0.7500 0.2500 0.2500  4 Tc 2.69, 4 Mg 2.69
Ir 0.7500 0.7500 0.7500  4 Tc 2.69, 4 Mg 2.69

Properties
Energy of formation from the pure elements, eV per atom: -0.016
Raw total energy, eV per formula unit: -22.159


Record 2
A plane-wave DFT calculation with PBE-GGA was carried out for a geometry-optimized TiTl3Sb structure.

Cell lengths 5.7518, 5.7518, 5.7518 Å; angles 90.00, 90.00, 90.00 degrees
Last column: nearest neighbours and their distance in Å.
Fractional coordinates of all 5 atoms:
Ti 0.0000 0.0000 0.0000  12 Tl 4.07
Tl 0.0000 0.5000 0.5000  2 Sb 2.88
Tl 0.5000 0.0000 0.5000  2 Sb 2.88
Tl 0.5000 0.5000 0.0000  2 Sb 2.88
Sb 0.5000 0.5000 0.5000  6 Tl 2.88

Properties
Raw formation energy, kcal/mol of atoms: 24.906
Polymorph energy (0 for the lowest one), meV per atom: 521
Raw total energy, eV per formula unit: -13.716


Record 3
A plane-wave DFT calculation with PBE-GGA was carried out for a geometry-optimized ZrBRh3 structure.

Cell lengths 3.4763, 3.4763, 15.3992 Å; angles 90.00, 90.00, 120.00 degrees
Last column: nearest neighbours and their distance in Å.
Fractional coordinates of all 10 atoms:
Zr 0.0000 0.0000 0.0000  6 Rh 2.66
Zr 0.0000 0.0000 0.5000  6 Rh 2.66
B 0.3333 0.6667 0.2500  5 Rh 2.01-2.10
B 0.6667 0.3333 0.7500  5 Rh 2.01-2.10
Rh 0.0000 0.0000 0.2500  3 B 2.01
Rh 0.0000 0.0000 0.7500  3 B 2.01
Rh 0.3333 0.6667 0.1137  1 B 2.10
Rh 0.3333 0.6667 0.3863  1 B 2.10
Rh 0.6667 0.3333 0.6137  1 B 2.10
Rh 0.6667 0.3333 0.8863  1 B 2.10

Properties
Energy of formation from the pure elements, eV per atom: -0.139
Raw total energy, eV per formula unit: -37.976


Record 4
A plane-wave DFT calculation with PBE-GGA was carried out for a geometry-optimized Ce2PuZn2Au2 structure.

Cell lengths 8.2112, 8.2112, 8.2112 Å; angles 34.13, 34.13, 34.13 degrees
Last column: nearest neighbours and their distance in Å.
Fractional coordinates of all 7 atoms:
Ce 0.1273 0.1273 0.1273  1 Pu 2.95, 4 Au 3.11-3.22, 3 Zn 3.15
Ce 0.8727 0.8727 0.8727  1 Pu 2.95, 4 Au 3.11-3.22, 3 Zn 3.15
Pu 0.0000 0.0000 0.0000  2 Ce 2.95, 6 Zn 3.15, 6 Au 3.19
Zn 0.3968 0.3968 0.3968  4 Au 2.78-3.03
Zn 0.6032 0.6032 0.6032  4 Au 2.78-3.03
Au 0.2660 0.2660 0.2660  4 Zn 2.78-3.03, 3 Ce 3.11
Au 0.7340 0.7340 0.7340  4 Zn 2.78-3.03, 3 Ce 3.11

Properties
Energy of formation from the pure elements, eV per atom: -0.362
Raw total energy, eV per formula unit: -37.834


| no. | magnetization (μB/cell) | volume (A^3/atom) |
| --- | --- | --- |
| 1 | 0.0 | 15.0 |
| 2 | 0.1 | 38.1 |
| 3 | 0.0 | 16.1 |
| 4 | 7.7 | 22.2 |